A plane-wave DFT calculation with PBE was carried out for a relaxed Os5Rh crystal.

The value obtained for the density of states at the Fermi level is 0.58 states/eV per atom. For the energy relative to the lowest polymorph listed for this composition, the calculation gives 12 meV per atom. Its formation energy is 0.09 eV/f.u. Its total magnetization is 0.0 μB per cell.

Unit cell a=2.7513 b=7.2796 c=4.3540 alpha=90.00 beta=90.00 gamma=79.11
With the nearest neighbours (Å) after each atom.
Fractional coordinates of all 6 atoms:
Os: 0.5575 0.8850 0.5000  10 Os 2.68-2.75, 2 Rh 2.78
Os: 0.6669 0.6662 0.0000  12 Os 2.68-2.75
Rh: 0.8885 0.2229 0.5000  10 Os 2.69-2.78, 2 Rh 2.75
Os: 0.0000 0.0000 0.0000  2 Rh 2.70, 10 Os 2.70-2.75
Os: 0.3331 0.3338 0.0000  4 Rh 2.69, 8 Os 2.71-2.75
Os: 0.2206 0.5588 0.5000  10 Os 2.69-2.75, 2 Rh 2.77

***

A plane-wave DFT calculation with PBE was carried out for a relaxed Os2Rh crystal.

The value obtained for the density of states at the Fermi level is 1.75 states/eV per atom. For the energy relative to the lowest polymorph listed for this composition, the calculation gives 742 meV per atom. Its formation energy is 2.26 eV/f.u. Its total magnetization is 0.0 μB per cell.

Unit cell a=5.0959 b=5.0959 c=5.0959 alpha=60.00 beta=60.00 gamma=60.00
With the nearest neighbours (Å) after each atom.
Fractional coordinates of all 6 atoms:
Os: 0.6250 0.1250 0.1250  6 Os 2.55
Os: 0.1250 0.6250 0.1250  6 Os 2.55
Os: 0.1250 0.1250 0.1250  6 Os 2.55
Rh: 0.7500 0.7500 0.7500  12 Os 2.99, 4 Rh 3.12
Os: 0.1250 0.1250 0.6250  6 Os 2.55
Rh: 0.5000 0.5000 0.5000  12 Os 2.99, 4 Rh 3.12

***

A plane-wave DFT calculation with PBE was carried out for a relaxed OsRu2Rh crystal.

The value obtained for the density of states at the Fermi level is 1.33 states/eV per atom. For the energy relative to the lowest polymorph listed for this composition, the calculation gives 584 meV per atom. Its formation energy is 2.39 eV/f.u. Its total magnetization is 1.0 μB per cell.

Unit cell a=4.3475 b=4.3475 c=4.3475 alpha=60.00 beta=60.00 gamma=60.00
With the nearest neighbours (Å) after each atom.
Fractional coordinates of all 4 atoms:
Os: 0.5000 0.5000 0.5000  4 Ru 2.66, 4 Rh 2.66
Rh: 0.7500 0.7500 0.7500  4 Os 2.66, 4 Ru 2.66
Ru: 0.2500 0.2500 0.2500  4 Ru 2.66, 4 Os 2.66
Ru: 0.0000 0.0000 0.0000  4 Ru 2.66, 4 Rh 2.66

***

A plane-wave DFT calculation with PBE was carried out for a relaxed Os3Ru2Rh3 crystal.

The value obtained for the density of states at the Fermi level is 1.15 states/eV per atom. Its formation energy is 3.18 eV/f.u. Its total magnetization is 0.0 μB per cell.

Unit cell a=2.7126 b=7.0592 c=7.0592 alpha=120.00 beta=90.00 gamma=90.00
With the nearest neighbours (Å) after each atom.
Fractional coordinates of all 8 atoms:
Rh: 0.5000 0.0000 0.3763  4 Ru 2.60, 4 Os 2.71, 2 Rh 2.71
Ru: 0.0000 0.3334 0.6667  6 Rh 2.60, 3 Os 2.68, 2 Ru 2.71
Os: 0.0000 0.7457 0.0000  2 Ru 2.68, 6 Rh 2.71-2.94, 2 Os 2.71
Os: 0.0000 0.2543 0.2543  2 Ru 2.68, 6 Rh 2.71-2.94, 2 Os 2.71
Rh: 0.5000 0.6237 0.6237  4 Ru 2.60, 4 Os 2.71, 2 Rh 2.71
Rh: 0.5000 0.3763 0.0000  4 Ru 2.60, 4 Os 2.71, 2 Rh 2.71
Ru: 0.0000 0.6667 0.3334  6 Rh 2.60, 3 Os 2.68, 2 Ru 2.71
Os: 0.0000 0.0000 0.7457  2 Ru 2.68, 6 Rh 2.71-2.94, 2 Os 2.71